## MnOsS3 (PBE)

Data for a geometry-optimized MnOsS3 structure.

Lattice parameters (Å, degrees): 4.283 4.283 4.283 90.00 90.00 90.00
Fractional positions:
S (0.000, 0.500, 0.000)
S (0.000, 0.000, 0.500)
S (0.500, 0.000, 0.000)
Mn (0.000, 0.000, 0.000)
Os (0.500, 0.500, 0.500)

## Properties
- Polymorph energy (0 for the lowest one): 2.29 eV per formula unit
- Symmetry: Pm-3m (221)
- Calculated volume: 79 Å³ per cell
- Crystal system: cubic
- ΔE_f (raw): 1.09 eV per atom